Record 1
Entry from the Alexandria database: crystalline ZnFe2Ru at its relaxed geometry (PBE).

a b c (Å): 8.664 8.664 8.664
angles (deg): 17.62 17.62 17.62
Site moments in Bohr magnetons follow the coordinates.
Sites, in units of the cell vectors:
Fe1 0.250 0.250 0.250  2.40
Fe2 0.998 0.998 0.998  2.51
Ru1 0.504 0.504 0.504  -0.06
Zn1 0.748 0.748 0.748  -0.02

***

Record 2
Entry from the Alexandria database: crystalline ZnFe2Ru at its relaxed geometry (PBE).

a b c (Å): 2.635 2.635 7.294
angles (deg): 90.00 90.00 90.00
Site moments in Bohr magnetons follow the coordinates.
Sites, in units of the cell vectors:
Fe1 0.000 0.000 0.496  2.07
Fe2 0.000 0.000 0.004  2.07
Zn1 0.500 0.500 0.750  -0.07
Ru1 0.500 0.500 0.250  -0.37

***

Record 3
Entry from the Alexandria database: crystalline ZnFe2Ru at its relaxed geometry (PBE).

a b c (Å): 2.581 2.581 8.434
angles (deg): 90.00 90.00 110.81
Site moments in Bohr magnetons follow the coordinates.
Sites, in units of the cell vectors:
Zn1 0.500 0.500 0.750  -0.06
Fe1 0.000 0.000 0.001  2.57
Fe2 0.000 0.000 0.499  2.57
Ru1 0.500 0.500 0.250  0.72

***

Record 4
Entry from the Alexandria database: crystalline Zn2FeRu at its relaxed geometry (PBE).

a b c (Å): 2.625 2.625 8.588
angles (deg): 90.00 90.00 113.33
Site moments in Bohr magnetons follow the coordinates.
Sites, in units of the cell vectors:
Zn1 0.000 0.000 0.494  -0.04
Zn2 0.000 0.000 0.006  -0.04
Ru1 0.500 0.500 0.750  0.31
Fe1 0.500 0.500 0.250  2.46

Energy above the lowest structure with this stoichiometry   0.113 eV/atom

***

Record 5
Entry from the Alexandria database: crystalline ZnFe2Ru at its relaxed geometry (PBE).

a b c (Å): 4.563 4.563 3.727
angles (deg): 65.87 65.87 48.23
Site moments in Bohr magnetons follow the coordinates.
Sites, in units of the cell vectors:
Ru1 0.750 0.750 0.750  0.68
Zn1 0.250 0.250 0.250  -0.04
Fe1 0.000 0.000 0.000  2.58
Fe2 0.500 0.500 0.500  2.58

***

Record 6
Entry from the Alexandria database: crystalline Zn2FeRu at its relaxed geometry (PBE).

a b c (Å): 8.880 8.880 8.880
angles (deg): 17.39 17.39 17.39
Site moments in Bohr magnetons follow the coordinates.
Sites, in units of the cell vectors:
Fe1 0.498 0.498 0.498  2.20
Ru1 0.755 0.755 0.755  -0.14
Zn1 0.245 0.245 0.245  -0.03
Zn2 0.002 0.002 0.002  0.00

Energy above the lowest structure with this stoichiometry   0.043 eV/atom

***

Record 7
Entry from the Alexandria database: crystalline Zn2FeRu at its relaxed geometry (PBE).

a b c (Å): 6.776 6.776 5.385
angles (deg): 51.02 51.02 90.00
Sites, in units of the cell vectors:
Ru1 0.750 0.250 0.500
Ru2 0.000 0.000 0.000
Zn1 0.375 0.389 0.750
Zn2 0.139 0.625 0.250
Zn3 0.611 0.125 0.250
Zn4 0.875 0.861 0.750
Fe1 0.500 0.500 0.000
Fe2 0.250 0.750 0.500

Energy above the lowest structure with this stoichiometry   0.597 eV/atom

***

Record 8
Entry from the Alexandria database: crystalline ZnFe2Ru at its relaxed geometry (PBE).

a b c (Å): 3.699 3.699 3.785
angles (deg): 90.00 90.00 90.00
Site moments in Bohr magnetons follow the coordinates.
Sites, in units of the cell vectors:
Fe1 0.500 0.500 0.000  2.63
Fe2 0.000 0.000 0.000  2.63
Ru1 0.500 0.000 0.500  0.64
Zn1 0.000 0.500 0.500  -0.04

***

Record 9
Entry from the Alexandria database: crystalline ZnFe2Ru at its relaxed geometry (PBE).

a b c (Å): 2.993 2.993 5.748
angles (deg): 90.00 90.00 90.00
Site moments in Bohr magnetons follow the coordinates.
Sites, in units of the cell vectors:
Zn1 0.500 0.500 0.761  -0.03
Fe1 0.500 0.500 0.244  2.37
Fe2 0.000 0.000 0.013  2.58
Ru1 0.000 0.000 0.482  0.27

***

Record 10
Entry from the Alexandria database: crystalline ZnFe2Ru at its relaxed geometry (PBE).

a b c (Å): 2.595 2.595 8.329
angles (deg): 90.00 90.00 111.08
Site moments in Bohr magnetons follow the coordinates.
Sites, in units of the cell vectors:
Fe1 0.000 0.000 0.009  2.53
Fe2 0.500 0.500 0.241  2.65
Zn1 0.500 0.500 0.757  -0.04
Ru1 0.000 0.000 0.492  0.50

***

Record 11
Entry from the Alexandria database: crystalline ZnFe2Ru at its relaxed geometry (PBE).

a b c (Å): 4.154 2.557 4.975
angles (deg): 79.90 90.00 90.00
Site moments in Bohr magnetons follow the coordinates.
Sites, in units of the cell vectors:
Fe1 0.000 0.011 0.005  2.54
Fe2 0.500 0.223 0.243  2.64
Ru1 0.000 0.482 0.494  0.62
Zn1 0.500 0.784 0.757  -0.05

***

Record 12
Entry from the Alexandria database: crystalline ZnFe2Ru at its relaxed geometry (PBE).

a b c (Å): 6.739 6.739 5.396
angles (deg): 51.36 51.36 90.00
Site moments in Bohr magnetons follow the coordinates.
Sites, in units of the cell vectors:
Fe1 0.116 0.625 0.250  2.68
Fe2 0.375 0.366 0.750  2.67
Fe3 0.634 0.125 0.250  2.70
Fe4 0.875 0.884 0.750  2.66
Zn1 0.250 0.750 0.500  -0.01
Zn2 0.500 0.500 0.000  -0.01
Ru1 0.000 0.000 0.000  0.76
Ru2 0.750 0.250 0.500  0.76

***

Record 13
Entry from the Alexandria database: crystalline ZnFeRu4 at its relaxed geometry (PBE).

a b c (Å): 5.059 5.059 5.059
angles (deg): 60.00 60.00 60.00
Site moments in Bohr magnetons follow the coordinates.
Sites, in units of the cell vectors:
Fe1 0.000 0.000 0.000  3.15
Ru1 0.375 0.375 0.375  0.36
Ru2 0.875 0.375 0.375  0.36
Ru3 0.375 0.375 0.875  0.36
Ru4 0.375 0.875 0.375  0.36
Zn1 0.750 0.750 0.750  -0.02

***

Record 14
Entry from the Alexandria database: crystalline Zn2FeRu at its relaxed geometry (PBE).

a b c (Å): 2.644 2.644 8.653
angles (deg): 90.00 90.00 114.02
Site moments in Bohr magnetons follow the coordinates.
Sites, in units of the cell vectors:
Ru1 0.500 0.500 0.741  0.50
Zn1 0.500 0.500 0.260  -0.04
Zn2 0.000 0.000 0.995  -0.01
Fe1 0.000 0.000 0.503  2.55

Energy above the lowest structure with this stoichiometry   0.120 eV/atom

***

Record 15
Entry from the Alexandria database: crystalline Zn2FeRu at its relaxed geometry (PBE).

a b c (Å): 4.708 4.708 4.708
angles (deg): 133.33 133.33 68.13
Site moments in Bohr magnetons follow the coordinates.
Sites, in units of the cell vectors:
Ru1 0.750 0.250 0.500  1.01
Zn1 0.000 0.000 0.000  -0.02
Zn2 0.500 0.500 0.000  -0.02
Fe1 0.250 0.750 0.500  2.75

Energy above the lowest structure with this stoichiometry   0.018 eV/atom

***

Record 16
Entry from the Alexandria database: crystalline ZnFe2Ru at its relaxed geometry (PBE).

a b c (Å): 2.656 2.656 7.230
angles (deg): 90.00 90.00 90.00
Site moments in Bohr magnetons follow the coordinates.
Sites, in units of the cell vectors:
Ru1 0.000 0.000 0.479  -0.25
Fe1 0.000 0.000 0.012  2.57
Fe2 0.500 0.500 0.255  1.42
Zn1 0.500 0.500 0.754  -0.04

***

Record 17
Entry from the Alexandria database: crystalline Zn2FeRu at its relaxed geometry (PBE).

a b c (Å): 4.236 4.236 4.236
angles (deg): 60.00 60.00 60.00
Site moments in Bohr magnetons follow the coordinates.
Sites, in units of the cell vectors:
Zn1 0.250 0.250 0.250  -0.04
Zn2 0.000 0.000 0.000  -0.01
Ru1 0.750 0.750 0.750  0.50
Fe1 0.500 0.500 0.500  2.58

Energy above the lowest structure with this stoichiometry   0.039 eV/atom

***

Record 18
Entry from the Alexandria database: crystalline Zn2FeRu at its relaxed geometry (PBE).

a b c (Å): 4.598 4.598 4.580
angles (deg): 79.31 79.31 34.72
Site moments in Bohr magnetons follow the coordinates.
Sites, in units of the cell vectors:
Ru1 0.246 0.246 0.265  0.50
Fe1 0.503 0.503 0.485  2.47
Zn1 0.998 0.998 0.995  -0.04
Zn2 0.754 0.754 0.755  -0.01

Energy above the lowest structure with this stoichiometry   0.055 eV/atom

***

Record 19
Entry from the Alexandria database: crystalline ZnFe2Ru at its relaxed geometry (PBE).

a b c (Å): 2.633 2.633 8.628
angles (deg): 81.22 81.22 60.00
Site moments in Bohr magnetons follow the coordinates.
Sites, in units of the cell vectors:
Fe1 0.251 0.251 0.248  2.10
Fe2 0.083 0.083 0.752  2.13
Zn1 0.500 0.500 0.500  -0.07
Ru1 0.667 0.667 0.000  -0.28

***

Record 20
Entry from the Alexandria database: crystalline ZnFe2Ru at its relaxed geometry (PBE).

a b c (Å): 4.904 4.904 4.904
angles (deg): 145.37 128.77 63.32
Site moments in Bohr magnetons follow the coordinates.
Sites, in units of the cell vectors:
Zn1 0.757 0.257 0.500  -0.06
Ru1 0.490 0.490 0.000  0.55
Fe1 0.011 0.011 0.000  2.56
Fe2 0.242 0.742 0.500  2.49

***

| no. | energy relative to the elements (eV/atom) |
| --- | --- |
| 1 | 0.110 |
| 2 | 0.088 |
| 3 | 0.176 |
| 4 | 0.121 |
| 5 | 0.104 |
| 6 | 0.052 |
| 7 | 0.606 |
| 8 | 0.081 |
| 9 | 0.076 |
| 10 | 0.123 |
| 11 | 0.115 |
| 12 | 0.570 |
| 13 | 0.557 |
| 14 | 0.128 |
| 15 | 0.027 |
| 16 | 0.090 |
| 17 | 0.047 |
| 18 | 0.064 |
| 19 | 0.115 |
| 20 | 0.085 |